(1)
MgB4C: relaxed, PBE.

Computed properties:
E (eV per atom): -5.98
Volume (A^3/atom): 8.2
Energy of formation (eV per atom): 0.272

Lattice parameters (Å, degrees): 5.769 5.769 7.170 46.00 46.00 37.57
Positions (direct):
Mg 0.833 0.833 0.782
Mg 0.167 0.167 0.218
B 0.805 0.805 0.299
B 0.109 0.648 0.418
B 0.250 0.750 0.000
B 0.352 0.891 0.582
B 0.195 0.195 0.701
B 0.891 0.352 0.582
B 0.750 0.250 0.000
B 0.648 0.109 0.418
C 0.542 0.542 0.156
C 0.458 0.458 0.844

(2)
Mg3BC: relaxed, PBE.

Computed properties:
Energy above the most stable polymorph in this dataset (meV per atom): 0
E (eV per atom): -3.44
Volume (A^3/atom): 15.5
Energy of formation (eV per atom): 0.699

Lattice parameters (Å, degrees): 4.260 4.260 4.260 90.00 90.00 90.00
Positions (direct):
Mg 0.000 0.500 0.000
Mg 0.000 0.000 0.500
Mg 0.500 0.000 0.000
B 0.500 0.500 0.500
C 0.000 0.000 0.000

(3)
MgB2C: relaxed, PBE.

Computed properties:
E (eV per atom): -5.34
Volume (A^3/atom): 10.5
Energy of formation (eV per atom): 0.702

Lattice parameters (Å, degrees): 4.935 4.935 4.918 59.88 59.88 90.00
Positions (direct):
Mg 0.000 0.000 0.000
Mg 0.750 0.250 0.500
B 0.492 0.125 0.250
B 0.258 0.625 0.250
B 0.375 0.508 0.750
B 0.875 0.742 0.750
C 0.500 0.500 0.000
C 0.250 0.750 0.500

(4)
MgB3C: relaxed, PBE.

Computed properties:
Energy above the most stable polymorph in this dataset (meV per atom): 3210
E (eV per atom): -2.59
Volume (A^3/atom): 15.9
Energy of formation (eV per atom): 3.578

Lattice parameters (Å, degrees): 4.296 4.296 4.296 90.00 90.00 90.00
Positions (direct):
Mg 0.000 0.000 0.000
B 0.000 0.500 0.000
B 0.000 0.000 0.500
B 0.500 0.000 0.000
C 0.500 0.500 0.500

(5)
MgB3C: relaxed, PBE.

Computed properties:
Energy above the most stable polymorph in this dataset (meV per atom): 0
E (eV per atom): -5.80
Volume (A^3/atom): 9.1
Energy of formation (eV per atom): 0.368

Lattice parameters (Å, degrees): 3.976 6.387 3.583 90.00 90.00 90.00
Positions (direct):
Mg 0.573 0.289 0.701
Mg 0.073 0.064 0.201
B 0.271 0.428 0.201
B 0.464 0.797 0.955
B 0.964 0.555 0.455
B 0.771 0.925 0.701
B 0.964 0.555 0.946
B 0.464 0.797 0.447
C 0.105 0.771 0.701
C 0.605 0.582 0.201

(6)
MgBC3: relaxed, PBE.

Computed properties:
Energy above the most stable polymorph in this dataset (meV per atom): 1812
E (eV per atom): -3.34
Volume (A^3/atom): 13.6
Energy of formation (eV per atom): 3.845

Lattice parameters (Å, degrees): 4.083 4.083 4.083 90.00 90.00 90.00
Positions (direct):
Mg 0.000 0.000 0.000
B 0.500 0.500 0.500
C 0.000 0.500 0.000
C 0.000 0.000 0.500
C 0.500 0.000 0.000

Taking the records one at a time from the top gives density of states at the Fermi level values of 0.4; 2.5; 0.3; 3.8; 4.5; 4.6 states/eV per cell.